Computed, not measured: a geometry-optimized TcSb3Pd structure at the PBE level of DFT.

```
data_TcSb3Pd
_cell_length_a 5.169
_cell_length_b 5.169
_cell_length_c 5.169
_cell_angle_alpha 90.00
_cell_angle_beta 90.00
_cell_angle_gamma 90.00
_symmetry_space_group_name_H-M 'P m -3 m'
_symmetry_Int_Tables_number 221
_symmetry_space_group_name_Hall '-P 4 2 3'
loop_
_atom_site_label
_atom_site_type_symbol
_atom_site_fract_x
_atom_site_fract_y
_atom_site_fract_z
Tc1 Tc 0.000 0.000 0.000
Sb1 Sb 0.000 0.500 0.500
Pd1 Pd 0.500 0.500 0.500
```

Calculated values
- uncorrected formation energy (eV per atom) = 0.972

Computed, not measured: a geometry-optimized TcSb3Pd structure at the PBE level of DFT.

```
data_TcSb3Pd
_cell_length_a 5.109
_cell_length_b 5.109
_cell_length_c 5.109
_cell_angle_alpha 90.00
_cell_angle_beta 90.00
_cell_angle_gamma 90.00
_symmetry_space_group_name_H-M 'P m -3 m'
_symmetry_Int_Tables_number 221
_symmetry_space_group_name_Hall '-P 4 2 3'
loop_
_atom_site_label
_atom_site_type_symbol
_atom_site_fract_x
_atom_site_fract_y
_atom_site_fract_z
Tc1 Tc 0.000 0.000 0.000
Sb1 Sb 0.000 0.000 0.500
Pd1 Pd 0.500 0.500 0.500
```

Calculated values
- uncorrected formation energy (eV per atom) = 0.605

Computed, not measured: a geometry-optimized Tc2Sb2Pd structure at the PBE level of DFT.

```
data_Tc2Sb2Pd
_cell_length_a 7.398
_cell_length_b 7.398
_cell_length_c 3.294
_cell_angle_alpha 90.00
_cell_angle_beta 90.00
_cell_angle_gamma 90.00
_symmetry_space_group_name_H-M 'P 4/m b m'
_symmetry_Int_Tables_number 127
_symmetry_space_group_name_Hall '-P 4 2ab'
loop_
_atom_site_label
_atom_site_type_symbol
_atom_site_fract_x
_atom_site_fract_y
_atom_site_fract_z
Tc1 Tc 0.136 0.364 0.000
Sb1 Sb 0.163 0.663 0.500
Pd1 Pd 0.000 0.000 0.000
```

Calculated values
- uncorrected formation energy (eV per atom) = 0.132

Computed, not measured: a geometry-optimized TcSbPd2 structure at the PBE level of DFT.

```
data_TcSbPd2
_cell_length_a 3.897
_cell_length_b 3.897
_cell_length_c 19.096
_cell_angle_alpha 90.00
_cell_angle_beta 90.00
_cell_angle_gamma 90.00
_symmetry_space_group_name_H-M 'I -4 2 d'
_symmetry_Int_Tables_number 122
_symmetry_space_group_name_Hall 'I -4 2bw'
loop_
_atom_site_label
_atom_site_type_symbol
_atom_site_fract_x
_atom_site_fract_y
_atom_site_fract_z
Tc1 Tc 0.000 0.000 0.000
Sb1 Sb 0.000 0.000 0.500
Pd1 Pd 0.246 0.250 0.125
```

Calculated values
- uncorrected formation energy (eV per atom) = 0.258

Computed, not measured: a geometry-optimized TcSbPd structure at the PBE level of DFT.

```
data_TcSbPd
_cell_length_a 13.067
_cell_length_b 3.125
_cell_length_c 5.405
_cell_angle_alpha 90.00
_cell_angle_beta 90.00
_cell_angle_gamma 90.00
_symmetry_space_group_name_H-M 'A m m 2'
_symmetry_Int_Tables_number 38
_symmetry_space_group_name_Hall 'A 2 -2'
loop_
_atom_site_label
_atom_site_type_symbol
_atom_site_fract_x
_atom_site_fract_y
_atom_site_fract_z
Tc1 Tc 0.158 0.000 0.000
Sb1 Sb 0.310 0.000 0.339
Pd1 Pd 0.000 0.000 0.334
Pd2 Pd 0.500 0.000 0.192
```

Calculated values
- uncorrected formation energy (eV per atom) = 0.262

Computed, not measured: a geometry-optimized Tc2Sb8Pd structure at the PBE level of DFT.

```
data_Tc2Sb8Pd
_cell_length_a 3.357
_cell_length_b 7.611
_cell_length_c 11.270
_cell_angle_alpha 97.02
_cell_angle_beta 98.46
_cell_angle_gamma 90.10
_symmetry_space_group_name_H-M 'P -1'
_symmetry_Int_Tables_number 2
_symmetry_space_group_name_Hall '-P 1'
loop_
_atom_site_label
_atom_site_type_symbol
_atom_site_fract_x
_atom_site_fract_y
_atom_site_fract_z
Tc1 Tc 0.159 0.356 0.320
Sb1 Sb 0.031 0.283 0.059
Sb2 Sb 0.243 0.683 0.483
Sb3 Sb 0.376 0.928 0.751
Sb4 Sb 0.388 0.416 0.777
Pd1 Pd 0.500 0.000 0.000
```

Calculated values
- uncorrected formation energy (eV per atom) = -0.024

How do the records compare in theoretical density? In the order shown, they have 6848, 7093, 10058, 9907, 9817, 7500 kg/m³.
How do the records compare in DFT total energy? In the order shown, they have -23.07, -24.90, -67.02, -95.36, -75.58, -59.17 eV per cell.